1.
Here is a relaxed Ce2Ho2Co3 crystal from the Alexandria database. Energies are from PBE.

a b c (Å): 3.962 5.760 6.877
angles (deg): 85.09 78.94 68.26
Fractional coordinates of all 7 atoms:
Ce 0.352 0.307 0.906
Co 0.000 0.000 0.000
Ho 0.687 0.212 0.378
Ho 0.313 0.788 0.622
Co 0.005 0.340 0.663
Ce 0.648 0.693 0.094
Co 0.995 0.660 0.337

Computed properties:
The formation energy is -0.221 eV/atom. Its symmetry is P-1, No. 2.

2.
Here is a relaxed TiNbCoBr crystal from the Alexandria database. Energies are from PBE.

a b c (Å): 3.187 3.187 14.137
angles (deg): 90.00 90.00 90.00
Fractional coordinates of all 8 atoms:
Ti 0.500 0.500 0.416
Br 0.500 0.500 0.037
Nb 0.000 0.000 0.288
Br 0.000 0.000 0.537
Co 0.000 0.000 0.708
Ti 0.000 0.000 0.916
Nb 0.500 0.500 0.788
Co 0.500 0.500 0.208

Computed properties:
Its symmetry is I4mm, No. 107. The calculation puts the formation energy without anion corrections at -0.10 eV/atom.

3.
Here is a relaxed BaNaSr6Pt crystal from the Alexandria database. Energies are from PBE.

a b c (Å): 7.485 8.571 8.511
angles (deg): 89.91 89.95 55.10
Fractional coordinates of all 9 atoms:
Sr 0.332 0.689 0.806
Sr 0.333 0.689 0.304
Sr 0.825 0.198 0.555
Pt 0.338 0.442 0.556
Sr 0.836 0.193 0.055
Ba 0.838 0.692 0.556
Na 0.832 0.696 0.056
Sr 0.333 0.201 0.305
Sr 0.333 0.200 0.807

Computed properties:
The formation energy is -0.244 eV/atom. Its symmetry is P1, No. 1.

4.
Here is a relaxed TmCdPdO4 crystal from the Alexandria database. Energies are from PBE.

a b c (Å): 6.877 6.413 6.759
angles (deg): 121.80 90.00 122.42
Fractional coordinates of all 14 atoms:
O 0.237 0.474 0.691
Pd 0.500 0.500 0.500
Tm 0.500 0.000 0.500
Pd 0.000 0.500 0.500
Cd 0.893 0.786 0.143
O 0.763 0.526 0.309
O 0.295 0.014 0.257
O 0.719 0.014 0.257
O 0.281 0.986 0.743
Tm 0.500 0.000 0.000
Cd 0.107 0.214 0.857
O 0.237 0.474 0.284
O 0.763 0.526 0.716
O 0.705 0.986 0.743

Computed properties:
Its symmetry is Imma, No. 74. The calculation puts the formation energy without anion corrections at -1.67 eV/atom.

5.
Here is a relaxed Ho3Zn4Ga4 crystal from the Alexandria database. Energies are from PBE.

a b c (Å): 3.715 4.336 13.479
angles (deg): 80.77 82.06 90.00
Fractional coordinates of all 11 atoms:
Zn 0.405 0.906 0.188
Zn 0.256 0.256 0.488
Ga 0.453 0.452 0.097
Ho 0.000 0.000 0.000
Ga 0.548 0.548 0.903
Ho 0.856 0.355 0.289
Ga 0.313 0.812 0.376
Ho 0.144 0.645 0.711
Zn 0.595 0.094 0.812
Zn 0.744 0.744 0.512
Ga 0.687 0.189 0.624

Computed properties:
The formation energy is -0.481 eV/atom. Its symmetry is Immm, No. 71.

6.
Here is a relaxed PmTmGeAu crystal from the Alexandria database. Energies are from PBE.

a b c (Å): 4.075 4.343 5.889
angles (deg): 90.00 110.24 90.00
Fractional coordinates of all 4 atoms:
Au 0.419 0.000 0.838
Tm 0.136 0.000 0.272
Ge 0.587 0.500 0.175
Pm 0.858 0.500 0.716

Computed properties:
The formation energy is -0.820 eV/atom. Its symmetry is Amm2, No. 38.

What did the fifth record say?
Here is a relaxed Ho3Zn4Ga4 crystal from the Alexandria database. Energies are from PBE.

a b c (Å): 3.715 4.336 13.479
angles (deg): 80.77 82.06 90.00
Fractional coordinates of all 11 atoms:
Zn 0.405 0.906 0.188
Zn 0.256 0.256 0.488
Ga 0.453 0.452 0.097
Ho 0.000 0.000 0.000
Ga 0.548 0.548 0.903
Ho 0.856 0.355 0.289
Ga 0.313 0.812 0.376
Ho 0.144 0.645 0.711
Zn 0.595 0.094 0.812
Zn 0.744 0.744 0.512
Ga 0.687 0.189 0.624

Computed properties:
The formation energy is -0.481 eV/atom. Its symmetry is Immm, No. 71.